The following is a PBE calculation of a relaxed structure of KZnGe2Pt, from the Alexandria database.

Cell: 6.3258 6.3258 6.3258 Å, 139.59 139.59 58.47°
Closest atoms and distances in Å follow each position.
Element x y z (fractional)
K 0.0000 0.0000 0.0000  8 Ge 3.39, 4 Pt 3.52, 4 Zn 3.52
Zn 0.7500 0.2500 0.5000  4 Ge 2.57
Ge 0.3726 0.3726 0.0000  2 Pt 2.57, 2 Zn 2.57, 1 Ge 2.81
Ge 0.6274 0.6274 0.0000  2 Pt 2.57, 2 Zn 2.57, 1 Ge 2.81
Pt 0.2500 0.7500 0.5000  4 Ge 2.57

Values from the calculation:
**Energy of formation from the pure elements**: -237 meV per atom
**N(E_F)**: 0.373 states/eV per atom
**Energy**: -3.77 eV per atom
**SG**: No. 119

---

The following is a PBE calculation of a relaxed structure of BaMg2Pb, from the Alexandria database.

Cell: 5.0184 5.0184 6.9005 Å, 111.39 111.39 60.07°
Closest atoms and distances in Å follow each position.
Element x y z (fractional)
Ba 0.0000 0.0000 0.0000  4 Pb 3.64-4.06, 4 Mg 3.72-3.92
Mg 0.5030 0.5030 0.5082  3 Mg 3.02, 3 Pb 3.03
Mg 0.7919 0.7919 0.3741  3 Mg 3.02, 3 Pb 3.36-3.37
Pb 0.2164 0.2164 0.6486  6 Mg 3.03-3.37

Values from the calculation:
**Energy of formation from the pure elements**: -198 meV per atom
**N(E_F)**: 0.441 states/eV per atom
**Energy**: -2.40 eV per atom
**SG**: No. 8

---

The following is a PBE calculation of a relaxed structure of Ta2CoBr, from the Alexandria database.

Cell: 3.1773 4.4661 4.7349 Å, 90.00 90.00 90.00°
Closest atoms and distances in Å follow each position.
Element x y z (fractional)
Ta 0.0000 0.0000 0.0000  4 Br 2.74, 4 Ta 2.85
Ta 0.5000 0.0000 0.5000  4 Co 2.74, 4 Ta 2.85
Co 0.0000 0.5000 0.5000  4 Ta 2.74, 4 Br 2.85
Br 0.5000 0.5000 0.0000  4 Ta 2.74, 4 Co 2.85

Values from the calculation:
**N(E_F)**: 1.112 states/eV per atom
**Energy**: -7.43 eV per atom
**Formation energy (no corrections)**: 2.8 eV per formula unit
**SG**: No. 47
**ΔE to the lowest computed polymorph**: 2.43 eV/f.u.

---

The following is a PBE calculation of a relaxed structure of Mo3Ir5, from the Alexandria database.

Cell: 7.2540 7.2540 4.9916 Å, 90.00 90.00 76.50°
Closest atoms and distances in Å follow each position.
Element x y z (fractional)
Mo 0.0593 0.5127 0.2500  4 Ir 2.46-2.68, 2 Mo 2.66
Mo 0.1496 0.8504 0.7500  8 Ir 2.74-2.89
Mo 0.4873 0.9407 0.2500  4 Ir 2.46-2.68, 2 Mo 2.66
Mo 0.5127 0.0593 0.7500  4 Ir 2.46-2.68, 2 Mo 2.66
Mo 0.8504 0.1496 0.2500  8 Ir 2.74-2.89
Mo 0.9407 0.4873 0.7500  4 Ir 2.46-2.68, 2 Mo 2.66
Ir 0.1784 0.1784 0.0000  4 Ir 2.50-2.76, 6 Mo 2.68-2.78
Ir 0.1784 0.1784 0.5000  4 Ir 2.50-2.76, 6 Mo 2.68-2.78
Ir 0.3031 0.4666 0.7500  2 Mo 2.60-2.75, 6 Ir 2.62-2.90
Ir 0.3125 0.6875 0.2500  2 Mo 2.46, 2 Ir 2.75
Ir 0.4666 0.3031 0.2500  2 Mo 2.60-2.75, 6 Ir 2.62-2.90
Ir 0.5334 0.6969 0.7500  2 Mo 2.60-2.75, 6 Ir 2.62-2.90
Ir 0.6875 0.3125 0.7500  2 Mo 2.46, 2 Ir 2.75
Ir 0.6969 0.5334 0.2500  2 Mo 2.60-2.75, 6 Ir 2.62-2.90
Ir 0.8216 0.8216 0.0000  4 Ir 2.50-2.76, 6 Mo 2.68-2.78
Ir 0.8216 0.8216 0.5000  4 Ir 2.50-2.76, 6 Mo 2.68-2.78

Values from the calculation:
**Energy of formation from the pure elements**: 175 meV per atom
**N(E_F)**: 0.977 states/eV per atom
**Energy**: -9.42 eV per atom
**SG**: No. 63
**ΔE to the lowest computed polymorph**: 3.46 eV/f.u.

---

The following is a PBE calculation of a relaxed structure of AcTlB, from the Alexandria database.

Cell: 4.7770 5.0953 6.5993 Å, 94.05 97.32 96.74°
Closest atoms and distances in Å follow each position.
Element x y z (fractional)
Ac 0.1296 0.3114 0.2951  4 B 2.87-3.08
Ac 0.8704 0.6886 0.7049  4 B 2.87-3.08
Tl 0.3888 0.2080 0.8437  2 B 2.60-2.80
Tl 0.6112 0.7920 0.1563  2 B 2.60-2.80
B 0.3811 0.8715 0.4874  1 B 1.61
B 0.6189 0.1285 0.5126  1 B 1.61

Values from the calculation:
**Energy of formation from the pure elements**: 30 meV per atom
**N(E_F)**: 0.413 states/eV per atom
**Energy**: -4.35 eV per atom
**SG**: No. 2

---

The following is a PBE calculation of a relaxed structure of Eu2HgIr, from the Alexandria database.

Cell: 5.1920 5.1920 5.1920 Å, 60.00 60.00 60.00°
Closest atoms and distances in Å follow each position.
Element x y z (fractional)
Eu 0.2500 0.2500 0.2500  4 Ir 3.18, 4 Hg 3.18
Eu 0.7500 0.7500 0.7500  4 Hg 3.18, 4 Ir 3.18
Hg 0.0000 0.0000 0.0000  8 Eu 3.18
Ir 0.5000 0.5000 0.5000  8 Eu 3.18

Values from the calculation:
**Energy of formation from the pure elements**: -359 meV per atom
**N(E_F)**: 3.278 states/eV per atom
**Energy**: -7.79 eV per atom
**SG**: No. 225
**ΔE to the lowest computed polymorph**: 0.21 eV/f.u.

---

The following is a PBE calculation of a relaxed structure of RbTh2PN5, from the Alexandria database.

Cell: 7.3394 7.3394 7.3394 Å, 122.57 122.57 85.61°
Closest atoms and distances in Å follow each position.
Element x y z (fractional)
Rb 0.2500 0.2500 0.0000  10 N 2.69-3.01
Rb 0.7500 0.7500 0.0000  10 N 2.69-3.01
Th 0.1964 0.6964 0.8929  4 N 2.39-2.55
Th 0.3036 0.1964 0.5000  4 N 2.39-2.55
Th 0.6964 0.8036 0.5000  4 N 2.39-2.55
Th 0.8036 0.3036 0.1071  4 N 2.39-2.55
P 0.2500 0.7500 0.5000  4 N 1.67
P 0.7500 0.2500 0.5000  4 N 1.67
N 0.0000 0.0000 0.0000  4 Th 2.55, 2 Rb 2.69
N 0.0224 0.7692 0.5000  1 P 1.67
N 0.2308 0.7308 0.2532  1 P 1.67
N 0.2692 0.5224 0.5000  1 P 1.67
N 0.4776 0.9776 0.7468  1 P 1.67
N 0.5000 0.5000 0.0000  4 Th 2.55, 2 Rb 2.69
N 0.5224 0.0224 0.2532  1 P 1.67
N 0.7308 0.4776 0.5000  1 P 1.67
N 0.7692 0.2692 0.7468  1 P 1.67
N 0.9776 0.2308 0.5000  1 P 1.67

Values from the calculation:
**N(E_F)**: 0.548 states/eV per atom
**Energy**: -7.91 eV per atom
**Formation energy (no corrections)**: -8.3 eV per formula unit
**SG**: No. 140

---

The following is a PBE calculation of a relaxed structure of TbCdGaHg, from the Alexandria database.

Cell: 5.0369 5.0369 5.0369 Å, 60.00 60.00 60.00°
Closest atoms and distances in Å follow each position.
Element x y z (fractional)
Tb 0.0000 0.0000 0.0000  4 Ga 3.08, 4 Hg 3.08
Cd 0.5000 0.5000 0.5000  4 Hg 3.08, 4 Ga 3.08
Ga 0.7500 0.7500 0.7500  4 Cd 3.08, 4 Tb 3.08
Hg 0.2500 0.2500 0.2500  4 Cd 3.08, 4 Tb 3.08

Values from the calculation:
**Energy of formation from the pure elements**: -359 meV per atom
**N(E_F)**: 0.072 states/eV per atom
**Energy**: -2.58 eV per atom
**SG**: No. 216

---

The following is a PBE calculation of a relaxed structure of Sr2CaMg, from the Alexandria database.

Cell: 4.1646 4.1646 9.8729 Å, 90.00 90.00 90.00°
Closest atoms and distances in Å follow each position.
Element x y z (fractional)
Sr 0.0000 0.0000 0.0000  4 Mg 3.65, 1 Ca 3.91
Sr 0.5000 0.5000 0.3198  4 Ca 4.06, 8 Sr 4.16-4.32
Ca 0.0000 0.0000 0.6036  4 Mg 3.43
Mg 0.5000 0.5000 0.7815  4 Ca 3.43, 4 Sr 3.65

Values from the calculation:
**Energy of formation from the pure elements**: -19 meV per atom
**N(E_F)**: 1.137 states/eV per atom
**Energy**: -1.76 eV per atom
**SG**: No. 99

---

The following is a PBE calculation of a relaxed structure of PuFe4Sb12, from the Alexandria database.

Cell: 7.9276 7.9276 7.9276 Å, 109.47 109.47 109.47°
Closest atoms and distances in Å follow each position.
Element x y z (fractional)
Pu 0.0000 0.0000 0.0000  12 Sb 3.40
Fe 0.0000 0.0000 0.5000  6 Sb 2.54
Fe 0.0000 0.5000 0.0000  6 Sb 2.54
Fe 0.5000 0.0000 0.0000  6 Sb 2.54
Fe 0.5000 0.5000 0.5000  6 Sb 2.54
Sb 0.1624 0.3335 0.4959  2 Fe 2.54
Sb 0.1624 0.6665 0.8288  2 Fe 2.54
Sb 0.1712 0.8376 0.3335  2 Fe 2.54
Sb 0.3335 0.1712 0.8376  2 Fe 2.54
Sb 0.3335 0.4959 0.1624  2 Fe 2.54
Sb 0.4959 0.1624 0.3335  2 Fe 2.54
Sb 0.5041 0.8376 0.6665  2 Fe 2.54
Sb 0.6665 0.5041 0.8376  2 Fe 2.54
Sb 0.6665 0.8288 0.1624  2 Fe 2.54
Sb 0.8288 0.1624 0.6665  2 Fe 2.54
Sb 0.8376 0.3335 0.1712  2 Fe 2.54
Sb 0.8376 0.6665 0.5041  2 Fe 2.54

Values from the calculation:
**N(E_F)**: 0.576 states/eV per atom
**Energy**: -5.90 eV per atom
**Formation energy (no corrections)**: -2.6 eV per formula unit
**SG**: No. 204

---

The following is a PBE calculation of a relaxed structure of AsCl, from the Alexandria database.

Cell: 3.7242 3.7242 26.1720 Å, 90.00 90.00 120.00°
Closest atoms and distances in Å follow each position.
Element x y z (fractional)
As 0.0000 0.0000 0.1919  3 As 2.52
As 0.0000 0.0000 0.8081  3 As 2.52
As 0.3333 0.6667 0.1418  3 As 2.52
As 0.3333 0.6667 0.4749  3 As 2.52
As 0.6667 0.3333 0.5251  3 As 2.52
As 0.6667 0.3333 0.8582  3 As 2.52
Cl 0.0000 0.0000 0.4037  3 As 2.85
Cl 0.0000 0.0000 0.5963  3 As 2.85
Cl 0.3333 0.6667 0.7368  3 As 2.85
Cl 0.3333 0.6667 0.9295  3 As 2.85
Cl 0.6667 0.3333 0.0705  3 As 2.85
Cl 0.6667 0.3333 0.2632  3 As 2.85

Values from the calculation:
**N(E_F)**: 0.519 states/eV per atom
**Energy**: -3.29 eV per atom
**Formation energy (no corrections)**: -0.1 eV per formula unit
**SG**: No. 164

---

The following is a PBE calculation of a relaxed structure of ScAlTl2, from the Alexandria database.

Cell: 3.4061 4.4029 6.3858 Å, 90.00 90.44 90.00°
Closest atoms and distances in Å follow each position.
Element x y z (fractional)
Sc 0.0000 0.0000 0.0000  5 Tl 3.01-3.23, 4 Al 3.06-3.10
Al 0.5054 0.5000 0.7933  3 Tl 2.90-3.11, 4 Sc 3.06-3.10
Tl 0.0843 0.0000 0.5305  1 Sc 3.01, 2 Al 3.11, 2 Tl 3.22
Tl 0.5222 0.5000 0.2474  1 Al 2.90, 4 Sc 3.17-3.23, 2 Tl 3.22

Values from the calculation:
**Energy of formation from the pure elements**: -12 meV per atom
**N(E_F)**: 0.555 states/eV per atom
**Energy**: -3.71 eV per atom
**SG**: No. 6
**ΔE to the lowest computed polymorph**: 0.30 eV/f.u.